Here is a geometry-optimized Na3Ge3Au2 structure from Alexandria via LeMat-Bulk. Energies are from PBE-GGA.

a b c (Å): 8.0288 15.8980 5.6769
angles (deg): 90.00 90.00 90.00
With the nearest neighbours (Å) after each atom.
Space group Pnma (No. 62)
Inequivalent atoms, fractional coordinates:
Na  0.0462  0.1153  0.1028 x8  3 Au 3.02-3.16, 4 Ge 3.09-3.30
Na  0.2091  0.2500  0.6089 x4  3 Ge 3.07-3.09, 4 Au 3.19-3.23
Ge  0.1409  0.7500  0.6079 x4  2 Au 2.52
Ge  0.1947  0.0307  0.6239 x8  3 Au 2.61-2.75
Au  0.0869  0.6128  0.4006 x8  4 Ge 2.52-2.75

Calculated values
**Total DFT energy (no corrections)**: -3.18 eV per atom
**Formation energy from the elements**: -0.14 eV/atom
**Crystal system**: orthorhombic